[1]
PBE K2ScZnCl6, relaxed; energy = -3.7496 eV per atom; theoretical density = 2.46 g/cm3
1.0
-4.6246 -2.0681 5.1990
-6.3778 -2.9705 -1.7871
-1.1816 -7.0595 1.2084
Cl Zn K Sc
6 1 2 1
Direct
0.7561 0.2439 0.7561
0.7561 0.7561 0.2439
0.7561 0.2439 0.2439
0.2439 0.2439 0.7561
0.2439 0.7561 0.2439
0.2439 0.7561 0.7561
0.5000 0.5000 0.5000
0.2500 0.2500 0.2500
0.7500 0.7500 0.7500
0.0000 0.0000 0.0000

[2]
PBE Li2PdPb, relaxed; energy = -3.5471 eV per atom; theoretical density = 7.89 g/cm3
1.0
-3.6840 1.3179 1.2838
-1.7472 -1.6062 -3.3652
-0.5692 -3.5116 1.9716
Pd Pb Li
1 1 2
Direct
0.5000 0.5000 0.0000
0.0000 0.0000 0.0000
0.0000 0.5000 0.5000
0.5000 0.0000 0.5000

[3]
PBE SmGaGe2O7, relaxed; energy = -6.8457 eV per atom; theoretical density = 5.91 g/cm3
1.0
7.1612 0.0000 0.0000
0.0000 6.5912 0.0000
-5.9193 0.0000 11.3654
O Ge Ga Sm
28 8 4 4
Direct
0.0696 0.3752 0.8088
0.5078 0.3386 0.9244
0.4922 0.6614 0.0756
0.6482 0.1880 0.6842
0.7118 0.6105 0.7801
0.6482 0.3120 0.1842
0.0894 0.6706 0.0197
0.9106 0.3294 0.9803
0.7118 0.8895 0.2801
0.0894 0.8294 0.5197
0.2882 0.1105 0.7199
0.3518 0.8120 0.3158
0.2872 0.0524 0.1257
0.0696 0.1248 0.3088
0.4922 0.8386 0.5756
0.3518 0.6880 0.8158
0.2882 0.3895 0.2199
0.9106 0.1706 0.4803
0.9304 0.8752 0.6912
0.2457 0.0031 0.9213
0.7128 0.9476 0.8744
0.5078 0.1614 0.4244
0.2872 0.4476 0.6256
0.2457 0.4969 0.4213
0.7543 0.9969 0.0787
0.7543 0.5031 0.5787
0.9304 0.6248 0.1912
0.7128 0.5524 0.3744
0.7159 0.3419 0.4582
0.2841 0.6581 0.5418
0.7970 0.4122 0.7217
0.2030 0.5878 0.2783
0.2841 0.8419 0.0418
0.2030 0.9122 0.7783
0.7159 0.1581 0.9582
0.7970 0.0878 0.2217
0.2886 0.4000 0.7685
0.7114 0.6000 0.2315
0.2886 0.1000 0.2685
0.7114 0.9000 0.7315
0.7368 0.6464 0.9756
0.7368 0.8536 0.4756
0.2632 0.3536 0.0244
0.2632 0.1464 0.5244